1.
Material: La2Y
Method: DFT, PBE-GGA
State: optimized geometry

a b c (Å): 10.1003 10.1003 3.6140
angles (deg): 90.00 90.00 120.00
Element x y z (fractional)
1 La 0.0000 0.3096 0.0000
2 La 0.0000 0.6465 0.5000
3 La 0.6465 0.0000 0.5000
4 La 0.3535 0.3535 0.5000
5 La 0.6904 0.6904 0.0000
6 La 0.3096 0.0000 0.0000
7 Y 0.6667 0.3333 0.0000
8 Y 0.0000 0.0000 0.5000
9 Y 0.3333 0.6667 0.0000

Calculated values
The crystal system is hexagonal. The magnetization is 0.00 Bohr magnetons per cell. As for the energy above the most stable polymorph in this dataset: 13 meV per atom. The formation enthalpy at 0 K is 0.028 eV/atom. As for the space group: No. 189.

=====

2.
Material: Ac4Ga3Ru
Method: DFT, PBE-GGA
State: optimized geometry

a b c (Å): 4.6592 4.3621 11.6528
angles (deg): 90.00 90.00 90.00
Element x y z (fractional)
1 Ac 0.5000 0.5000 0.3481
2 Ac 0.0000 0.5000 0.8659
3 Ac 0.0000 0.0000 0.1391
4 Ac 0.5000 0.0000 0.6421
5 Ga 0.0000 0.5000 0.5661
6 Ga 0.0000 0.0000 0.4313
7 Ga 0.5000 0.0000 0.9422
8 Ru 0.5000 0.5000 0.0653

Calculated values
The crystal system is orthorhombic. The magnetization is 0.00 Bohr magnetons per cell. The formation enthalpy at 0 K is -0.423 eV/atom. As for the space group: No. 25.

=====

3.
Material: ZnIr2I
Method: DFT, PBE-GGA
State: optimized geometry

a b c (Å): 4.1504 4.1504 9.0852
angles (deg): 76.80 76.80 90.00
Element x y z (fractional)
1 Zn 0.5000 0.5000 0.0000
2 Zn 0.2500 0.7500 0.5000
3 Ir 0.3750 0.3838 0.7500
4 Ir 0.8750 0.8662 0.7500
5 Ir 0.1338 0.6250 0.2500
6 Ir 0.6162 0.1250 0.2500
7 I 0.7500 0.2500 0.5000
8 I 0.0000 0.0000 0.0000

Calculated values
The crystal system is tetragonal. The magnetization is 0.00 Bohr magnetons per cell. As for the energy above the most stable polymorph in this dataset: 0 meV per atom. As for the space group: No. 122. The uncorrected formation energy is 682 meV per atom.

=====

What did the third record say?
Material: ZnIr2I
Method: DFT, PBE-GGA
State: optimized geometry

a b c (Å): 4.1504 4.1504 9.0852
angles (deg): 76.80 76.80 90.00
Element x y z (fractional)
1 Zn 0.5000 0.5000 0.0000
2 Zn 0.2500 0.7500 0.5000
3 Ir 0.3750 0.3838 0.7500
4 Ir 0.8750 0.8662 0.7500
5 Ir 0.1338 0.6250 0.2500
6 Ir 0.6162 0.1250 0.2500
7 I 0.7500 0.2500 0.5000
8 I 0.0000 0.0000 0.0000

Calculated values
The crystal system is tetragonal. The magnetization is 0.00 Bohr magnetons per cell. As for the energy above the most stable polymorph in this dataset: 0 meV per atom. As for the space group: No. 122. The uncorrected formation energy is 682 meV per atom.